DFT (PBE-GGA) results for a relaxed structure of CaPmTl4.

- D(E_F) (states/eV/cell) = 4.4
- calculated volume (Å³/f.u.) = 176.72
- calculated formation energy (meV per atom) = -263
- uncorrected energy (eV per atom) = -2.966
- total magnetization (μB/f.u.) = 0.00

a = 5.0813 Å, b = 5.0841 Å, c = 7.8163 Å
α = 89.22°, β = 89.29°, γ = 61.08°
Space group P-1 (No. 2)
Asymmetric unit:
Ca 0.0000 0.0000 0.0000
Pm 0.0000 0.0000 0.5000
Tl 0.3313 0.3341 0.1906
Tl 0.3337 0.3327 0.6786